CaTcSbTe2 after structural relaxation, computed with PBE.

The energy relative to the lowest polymorph listed for this composition comes out at 1.366 eV per atom. The value obtained for the volume is 180.14 Å³ per cell. For the formation energy (no corrections), the calculation gives 1.34 eV per atom. The space group is No. 123. The value obtained for the final energy is -3.21 eV/atom.

Cell lengths 5.647, 5.647, 5.648 Å; angles 90.00, 90.00, 90.00 degrees
Atoms (fractional coordinates):
Ca1 0.000 0.000 0.000
Tc1 0.500 0.500 0.500
Sb1 0.000 0.000 0.500
Te1 0.000 0.500 0.000
Te2 0.500 0.000 0.000



CaTcSbTe2 after structural relaxation, computed with PBE.

The energy relative to the lowest polymorph listed for this composition comes out at 0.000 eV per atom. The value obtained for the volume is 153.61 Å³ per cell. For the formation energy (no corrections), the calculation gives -0.02 eV per atom. The space group is No. 123. The value obtained for the final energy is -4.58 eV/atom.

Cell lengths 5.525, 5.525, 5.032 Å; angles 90.00, 90.00, 90.00 degrees
Atoms (fractional coordinates):
Ca1 0.000 0.000 0.000
Tc1 0.500 0.500 0.500
Sb1 0.500 0.500 0.000
Te1 0.000 0.500 0.500
Te2 0.500 0.000 0.500